Entry from Alexandria via LeMat-Bulk: an optimized crystal structure of SmGdCdTc (GGA-PBE).

Calculated values
Total energy in eV per atom: -7.560
E_form in meV per atom: -40
Calculated volume in Å³ per cell: 378
Theoretical density in g/cm3: 9.10

Unit cell a=7.2315 b=7.2315 c=7.2315 alpha=90.00 beta=90.00 gamma=90.00
Space group F-43m (No. 216)
Unique sites:
1 Sm 0.0000 0.0000 0.0000 (multiplicity 4)
2 Gd 0.0000 0.0000 0.5000 (multiplicity 4)
3 Cd 0.2500 0.2500 0.7500 (multiplicity 4)
4 Tc 0.2500 0.2500 0.2500 (multiplicity 4)

Entry from Alexandria via LeMat-Bulk: an optimized crystal structure of YMnSbI2 (GGA-PBE).

Calculated values
Total energy in eV per atom: -4.550
Calculated volume in Å³ per cell: 158
Theoretical density in g/cm3: 5.46

Unit cell a=5.3217 b=5.3217 c=5.5796 alpha=90.00 beta=90.00 gamma=90.00
Space group P4/mmm (No. 123)
Unique sites:
1 Y 0.0000 0.0000 0.0000 (multiplicity 1)
2 Mn 0.5000 0.5000 0.5000 (multiplicity 1)
3 Sb 0.5000 0.5000 0.0000 (multiplicity 1)
4 I 0.0000 0.5000 0.5000 (multiplicity 2)

Entry from Alexandria via LeMat-Bulk: an optimized crystal structure of MnTcAs2 (GGA-PBE).

Calculated values
Total energy in eV per atom: -7.017
E_form in meV per atom: 191
Calculated volume in Å³ per cell: 124
Theoretical density in g/cm3: 8.11

Unit cell a=3.6396 b=3.6396 c=9.3648 alpha=90.00 beta=90.00 gamma=90.00
Space group I-4m2 (No. 119)
Unique sites:
1 Mn 0.0000 0.0000 0.0000 (multiplicity 2)
2 Tc 0.0000 0.5000 0.7500 (multiplicity 2)
3 As 0.0000 0.0000 0.5000 (multiplicity 2)
4 As 0.0000 0.5000 0.2500 (multiplicity 2)

Entry from Alexandria via LeMat-Bulk: an optimized crystal structure of Ta2AlAs2 (GGA-PBE).

Calculated values
Total energy in eV per atom: -7.195
E_form in meV per atom: 155
Calculated volume in Å³ per cell: 207
Theoretical density in g/cm3: 8.63

Unit cell a=3.9942 b=3.9942 c=12.9970 alpha=90.00 beta=90.00 gamma=90.00
Space group I4/mmm (No. 139)
Unique sites:
1 Ta 0.0000 0.5000 0.2500 (multiplicity 4)
2 Al 0.0000 0.0000 0.0000 (multiplicity 2)
3 As 0.0000 0.0000 0.3872 (multiplicity 4)

Entry from Alexandria via LeMat-Bulk: an optimized crystal structure of ZrZn6Cu2 (GGA-PBE).

Calculated values
Total energy in eV per atom: -2.720
E_form in meV per atom: -11
Calculated volume in Å³ per cell: 280
Theoretical density in g/cm3: 7.25

Unit cell a=7.1767 b=7.7746 c=5.0309 alpha=90.00 beta=94.91 gamma=90.00
Space group C2/m (No. 12)
Unique sites:
1 Zr 0.0000 0.0000 0.0000 (multiplicity 2)
2 Zn 0.0000 0.1738 0.5000 (multiplicity 4)
3 Zn 0.1615 0.3388 0.1621 (multiplicity 8)
4 Cu 0.1586 0.5000 0.6561 (multiplicity 4)

Entry from Alexandria via LeMat-Bulk: an optimized crystal structure of Hf3MoRu (GGA-PBE).

Calculated values
Total energy in eV per atom: -8.893
E_form in meV per atom: 1100
Calculated volume in Å³ per cell: 117
Theoretical density in g/cm3: 10.36

Unit cell a=4.8961 b=4.8961 c=4.8961 alpha=90.00 beta=90.00 gamma=90.00
Space group Pm-3m (No. 221)
Unique sites:
1 Hf 0.0000 0.0000 0.5000 (multiplicity 3)
2 Mo 0.0000 0.0000 0.0000 (multiplicity 1)
3 Ru 0.5000 0.5000 0.5000 (multiplicity 1)

no.,total magnetization (μB/f.u.)
1,7.08
2,4.38
3,2.33
4,0.00
5,0.00
6,0.00